Entry 1:
BaCoAs2Rh after structural relaxation, computed with PBE-GGA.

abc: 4.0644 4.0644 12.7462
angles: 90.00 90.00 90.00
With the nearest neighbours (Å) after each atom.
Element x y z (fractional)
Ba: 0.0000 0.0000 0.0000  8 As 3.44, 4 Co 3.78, 4 Rh 3.78
Ba: 0.5000 0.5000 0.5000  8 As 3.44, 4 Co 3.78, 4 Rh 3.78
Co: 0.0000 0.5000 0.2500  4 As 2.41
Co: 0.5000 0.0000 0.7500  4 As 2.41
As: 0.0000 0.0000 0.3520  2 Co 2.41, 2 Rh 2.41
As: 0.0000 0.0000 0.6480  2 Co 2.41, 2 Rh 2.41
As: 0.5000 0.5000 0.1480  2 Co 2.41, 2 Rh 2.41
As: 0.5000 0.5000 0.8520  2 Co 2.41, 2 Rh 2.41
Rh: 0.0000 0.5000 0.7500  4 As 2.41
Rh: 0.5000 0.0000 0.2500  4 As 2.41

Values from the calculation:
ΔH_f (0 K) in meV per atom: -695

***

Entry 2:
NaW2Au after structural relaxation, computed with PBE-GGA.

abc: 7.9033 7.9033 5.0335
angles: 90.00 90.00 90.00
With the nearest neighbours (Å) after each atom.
Element x y z (fractional)
Na: 0.0000 0.0000 0.0000  2 Au 2.52
Na: 0.0000 0.5000 0.2500  2 Au 2.52
Na: 0.5000 0.0000 0.7500  2 Au 2.52
Na: 0.5000 0.5000 0.5000  2 Au 2.52
W: 0.2093 0.2500 0.6250  2 W 2.60, 2 Au 2.65
W: 0.2500 0.7093 0.8750  2 W 2.60, 2 Au 2.65
W: 0.2500 0.7907 0.3750  2 W 2.60, 2 Au 2.65
W: 0.2907 0.2500 0.1250  2 W 2.60, 2 Au 2.65
W: 0.7093 0.7500 0.1250  2 W 2.60, 2 Au 2.65
W: 0.7500 0.2093 0.3750  2 W 2.60, 2 Au 2.65
W: 0.7500 0.2907 0.8750  2 W 2.60, 2 Au 2.65
W: 0.7907 0.7500 0.6250  2 W 2.60, 2 Au 2.65
Au: 0.0000 0.0000 0.5000  2 Na 2.52, 4 W 2.65
Au: 0.0000 0.5000 0.7500  2 Na 2.52, 4 W 2.65
Au: 0.5000 0.0000 0.2500  2 Na 2.52, 4 W 2.65
Au: 0.5000 0.5000 0.0000  2 Na 2.52, 4 W 2.65

Values from the calculation:
Distance to the lowest polymorph of the same formula in meV/atom: 38
ΔH_f (0 K) in meV per atom: 1424

***

| no. | total magnetization (Bohr magnetons per cell) |
| --- | --- |
| 1 | 1.4 |
| 2 | 0.0 |